# 1
Computed, not measured: an optimized crystal structure of ZnHg at the GGA-PBE level of DFT.

Computed properties:
The total DFT energy (no corrections) comes out at -0.70 eV/atom. The value obtained for the calculated formation energy is 92 meV per atom.

Unit cell a=3.164 b=12.646 c=6.424 alpha=90.00 beta=90.00 gamma=90.00
Space group Pmmn (No. 59, origin choice 2)
Symmetry-distinct sites (fractional):
Zn: 0.250 0.144 0.011 (multiplicity 4)
Zn: 0.250 0.750 0.726 (multiplicity 2)
Hg: 0.250 0.250 0.628 (multiplicity 2)
Hg: 0.250 0.511 0.708 (multiplicity 4)


# 2
Computed, not measured: an optimized crystal structure of Zn3Hg at the GGA-PBE level of DFT.

Computed properties:
The total DFT energy (no corrections) comes out at -0.92 eV/atom. The value obtained for the calculated formation energy is 107 meV per atom.

Unit cell a=3.008 b=3.008 c=7.858 alpha=90.00 beta=90.00 gamma=90.00
Space group P4/mmm (No. 123)
Symmetry-distinct sites (fractional):
Zn: 0.000 0.000 0.000 (multiplicity 1)
Zn: 0.500 0.500 0.216 (multiplicity 2)
Hg: 0.000 0.000 0.500 (multiplicity 1)


# 3
Computed, not measured: an optimized crystal structure of Zn3Hg at the GGA-PBE level of DFT.

Computed properties:
The total DFT energy (no corrections) comes out at -0.93 eV/atom. The value obtained for the calculated formation energy is 97 meV per atom.

Unit cell a=3.581 b=3.581 c=5.490 alpha=90.00 beta=90.00 gamma=90.00
Space group P4/mmm (No. 123)
Symmetry-distinct sites (fractional):
Zn: 0.000 0.000 0.000 (multiplicity 1)
Zn: 0.500 0.500 0.236 (multiplicity 2)
Hg: 0.000 0.000 0.500 (multiplicity 1)


# 4
Computed, not measured: an optimized crystal structure of Zn3Hg at the GGA-PBE level of DFT.

Computed properties:
The total DFT energy (no corrections) comes out at -0.92 eV/atom. The value obtained for the calculated formation energy is 109 meV per atom.

Unit cell a=5.352 b=10.109 c=3.051 alpha=90.00 beta=118.12 gamma=90.00
Space group Cm (No. 8)
Symmetry-distinct sites (fractional):
Zn: 0.000 0.000 0.000 (multiplicity 2)
Zn: 0.252 0.250 0.005 (multiplicity 4)
Hg: 0.000 0.500 0.001 (multiplicity 2)


# 5
Computed, not measured: an optimized crystal structure of ZnHg at the GGA-PBE level of DFT.

Computed properties:
The total DFT energy (no corrections) comes out at -0.67 eV/atom. The value obtained for the calculated formation energy is 114 meV per atom.

Unit cell a=4.947 b=3.871 c=4.653 alpha=90.00 beta=110.99 gamma=90.00
Space group C2/m (No. 12)
Symmetry-distinct sites (fractional):
Zn: 0.000 0.000 0.000 (multiplicity 2)
Hg: 0.000 0.500 0.500 (multiplicity 2)


# 6
Computed, not measured: an optimized crystal structure of ZnHg4 at the GGA-PBE level of DFT.

Computed properties:
The total DFT energy (no corrections) comes out at -0.40 eV/atom. The value obtained for the calculated formation energy is 101 meV per atom.

Unit cell a=10.255 b=10.255 c=10.255 alpha=90.00 beta=90.00 gamma=90.00
Space group I-43m (No. 217)
Symmetry-distinct sites (fractional):
Zn: 0.143 0.143 0.857 (multiplicity 8)
Hg: 0.000 0.000 0.317 (multiplicity 12)
Hg: 0.000 0.250 0.500 (multiplicity 12)
Hg: 0.204 0.204 0.204 (multiplicity 8)